The following is a DFT calculation (PBE) of a geometry-optimized GeIN3 structure.

a = 3.878 Å, b = 3.878 Å, c = 3.878 Å
α = 90.00°, β = 90.00°, γ = 90.00°
Atoms (fractional coordinates):
Ge 0.000 0.000 0.000
N 0.000 0.500 0.000
N 0.500 0.000 0.000
N 0.000 0.000 0.500
I 0.500 0.500 0.500

Output
Uncorrected formation energy, eV/atom: 1.7036
Space group: Pm-3m
Fermi-level density of states, states/eV per cell: 3.3
Total energy, eV/atom: -4.525